[1]
Entry from Alexandria: a relaxed structure of La2Tb3Cd (GGA-PBE).

The crystal system is orthorhombic. The value obtained for the density of states at the Fermi level is 1.5077 states/eV per atom. The total energy is -3.862 eV/atom.

It has space group Imm2 (No. 44), with a = 6.4217 Å, b = 10.2344 Å, c = 5.8235 Å, α = 90.00°, β = 90.00° and γ = 90.00°. The distinct sites, in fractional coordinates, are La at (0.0000, 0.1630, 0.0000), Tb at (0.0000, 0.0000, 0.5001), Tb at (0.0000, 0.3428, 0.4972) and Cd at (0.0000, 0.5000, 0.9961).


[2]
Entry from Alexandria: a relaxed structure of LaTb6Cd2 (GGA-PBE).

The crystal system is monoclinic. The value obtained for the density of states at the Fermi level is 1.1471 states/eV per atom. The distance to the lowest polymorph of the same formula is 0 meV/atom. The total energy is -3.966 eV/atom.

It has space group C2/m (No. 12), with a = 12.7655 Å, b = 3.7676 Å, c = 12.0107 Å, α = 90.00°, β = 108.10° and γ = 90.00°. The distinct sites, in fractional coordinates, are La at (0.0000, 0.0000, 0.0000), Tb at (0.0148, 0.0000, 0.3418), Tb at (0.1858, 0.5000, 0.8751), Tb at (0.1867, 0.5000, 0.5818) and Cd at (0.1516, 0.5000, 0.2195).


Number 1: magnetization 0.00 μB/f.u.. Number 2: magnetization 0.00 μB/f.u..